(1)
# Ca2InHgF

Crystalline Ca2InHgF at its relaxed geometry (PBE, Alexandria).

## Properties
E_form (uncorrected) in eV/atom: -0.419
Density of states at the Fermi level in states/eV per cell: 4.4
SG: P4/mmm, No. 123
Total energy in eV/atom: -2.2016

a = 5.9344 Å, b = 5.9344 Å, c = 4.8518 Å
α = 90.00°, β = 90.00°, γ = 90.00°
Fractional coordinates of all 5 atoms:
Ca (0.0000, 0.5000, 0.0000)
Ca (0.5000, 0.0000, 0.0000)
In (0.0000, 0.0000, 0.5000)
Hg (0.5000, 0.5000, 0.0000)
F (0.5000, 0.5000, 0.5000)

(2)
# TbY2AlS6

Crystalline TbY2AlS6 at its relaxed geometry (PBE, Alexandria).

## Properties
E_form (uncorrected) in eV/atom: -1.749
Density of states at the Fermi level in states/eV per cell: 0.0
SG: R3, No. 146
Total energy in eV/atom: -6.3558

a = 7.1098 Å, b = 7.1098 Å, c = 7.1098 Å
α = 56.57°, β = 56.57°, γ = 56.57°
Fractional coordinates of all 10 atoms:
Tb (0.0000, 0.0000, 0.0000)
Y (0.2928, 0.2928, 0.2928)
Y (0.7960, 0.7960, 0.7960)
Al (0.4950, 0.4950, 0.4950)
S (0.1285, 0.6986, 0.3906)
S (0.2338, 0.6036, 0.8572)
S (0.3906, 0.1285, 0.6986)
S (0.6036, 0.8572, 0.2338)
S (0.6986, 0.3906, 0.1285)
S (0.8572, 0.2338, 0.6036)

(3)
# Cd2In3Pb4

Crystalline Cd2In3Pb4 at its relaxed geometry (PBE, Alexandria).

## Properties
E above lowest polymorph in meV per atom: 0
Density of states at the Fermi level in states/eV per cell: 8.6
SG: C2/c, No. 15
Formation energy in eV/atom: 0.044
Total energy in eV/atom: -2.7207

a = 9.3953 Å, b = 9.3953 Å, c = 6.0850 Å
α = 100.46°, β = 100.46°, γ = 84.30°
Fractional coordinates of all 18 atoms:
Cd (0.1317, 0.2823, 0.1029)
Cd (0.2823, 0.1317, 0.6029)
Cd (0.7177, 0.8683, 0.3971)
Cd (0.8683, 0.7177, 0.8971)
In (0.0318, 0.9682, 0.7500)
In (0.3426, 0.4348, 0.5009)
In (0.4348, 0.3426, 0.0009)
In (0.5652, 0.6574, 0.9991)
In (0.6574, 0.5652, 0.4991)
In (0.9682, 0.0318, 0.2500)
Pb (0.0135, 0.6473, 0.3959)
Pb (0.2106, 0.6510, 0.9631)
Pb (0.3490, 0.7894, 0.5369)
Pb (0.3527, 0.9865, 0.1041)
Pb (0.6473, 0.0135, 0.8959)
Pb (0.6510, 0.2106, 0.4631)
Pb (0.7894, 0.3490, 0.0369)
Pb (0.9865, 0.3527, 0.6041)

(4)
# NiBAu

Crystalline NiBAu at its relaxed geometry (PBE, Alexandria).

## Properties
Density of states at the Fermi level in states/eV per cell: 3.1
SG: Amm2, No. 38
Formation energy in eV/atom: 0.099
Total energy in eV/atom: -5.1462

a = 2.8791 Å, b = 2.9151 Å, c = 8.3561 Å
α = 90.00°, β = 90.00°, γ = 90.00°
Fractional coordinates of all 6 atoms:
Ni (0.0000, 0.0000, 0.0000)
Ni (0.0000, 0.5000, 0.5000)
B (0.5000, 0.0000, 0.4465)
B (0.5000, 0.5000, 0.9465)
Au (0.5000, 0.0000, 0.7285)
Au (0.5000, 0.5000, 0.2285)